Below is a relaxed structure of LaNdGa2, with properties calculated at the PBE-GGA level.

Results
SG ... Amm2 (38)
Raw total energy ... -18.11 eV per cell

a = 4.2098 Å, b = 6.1427 Å, c = 6.1427 Å
α = 42.94°, β = 90.00°, γ = 90.00°
Fractional positions:
La (0.0000, 0.0000, 0.0000)
Nd (0.5000, 0.2830, 0.2830)
Ga (0.0000, 0.7139, 0.7139)
Ga (0.5000, 0.5762, 0.5762)